Na3Te4Au2 | GGA-PBE | relaxed

Geometry as POSCAR:
```
Na3Te4Au2
1.0
-1.839 -2.491 -3.304
-3.074 -1.151 5.682
-4.224 8.093 -3.753
Na Te Au
3 4 2
Cartesian
-5.132 3.973 -3.243
0.000 0.000 0.000
-4.004 0.478 1.868
-2.941 -1.240 -0.531
-6.196 5.692 -0.844
-6.917 1.544 -0.417
-2.219 2.907 -0.957
-4.353 0.916 -1.371
-4.783 3.535 -0.004
```

Formation energy (no corrections), eV per atom: -0.4113
Raw total energy, eV per atom: -2.98
Total magnetization, μB/cell: 0.00

=====

PmHo2Re | GGA-PBE | relaxed

Geometry as POSCAR:
```
PmHo2Re
1.0
-1.126 1.332 2.727
-0.856 -1.884 2.489
9.945 0.405 5.832
Re Ho Pm
1 2 1
Cartesian
0.000 0.000 0.000
7.457 0.266 4.871
0.506 -0.414 6.176
3.981 -0.074 5.523
```

Raw total energy, eV per atom: -5.79
Total magnetization, μB/cell: 0.35

=====

PdRuF2 | GGA-PBE | relaxed

Geometry as POSCAR:
```
PdRuF2
1.0
-3.724 0.028 1.956
-3.556 -0.043 -2.246
-2.422 -3.439 -0.039
Ru Pd F
1 1 2
Cartesian
0.000 0.000 0.000
-4.851 -1.727 -0.165
-2.425 -0.863 -0.082
-7.276 -2.590 -0.247
```

Formation energy (no corrections), eV per atom: -0.0731
E above lowest polymorph, eV per atom: 0.496
Raw total energy, eV per atom: -4.63
Total magnetization, μB/cell: 4.11

=====

> The highest total magnetization belongs to which entry?

PdRuF2

=====

Repeat the third record exactly.
PdRuF2 | GGA-PBE | relaxed

Geometry as POSCAR:
```
PdRuF2
1.0
-3.724 0.028 1.956
-3.556 -0.043 -2.246
-2.422 -3.439 -0.039
Ru Pd F
1 1 2
Cartesian
0.000 0.000 0.000
-4.851 -1.727 -0.165
-2.425 -0.863 -0.082
-7.276 -2.590 -0.247
```

Formation energy (no corrections), eV per atom: -0.0731
E above lowest polymorph, eV per atom: 0.496
Raw total energy, eV per atom: -4.63
Total magnetization, μB/cell: 4.11

=====

> Look up the raw total energy of the first one.

-2.98 eV per atom

=====

> What is the total magnetization in the third record?

4.11 μB/cell